Entry from the Alexandria database: CrSn2O after structural relaxation (PBE+U).

Lattice parameters (Å, degrees): 6.8035 6.8035 6.7457 90.00 90.00 90.00
Space group I-42d (No. 122)
Inequivalent atoms, fractional coordinates:
Cr1 0.0000 0.0000 0.0000 [4 per cell]
Sn1 0.1868 0.7500 0.6250 [8 per cell]
O1 0.0000 0.0000 0.5000 [4 per cell]

Computed properties:
- total moment (μB per formula unit) = 1.068
- ΔE to the lowest computed polymorph (eV/atom) = 0.000


Entry from the Alexandria database: CrSnO3 after structural relaxation (PBE+U).

Lattice parameters (Å, degrees): 4.9670 5.5204 5.4755 90.00 99.36 90.00
Space group P2_1/m (No. 11)
Inequivalent atoms, fractional coordinates:
Cr1 0.1022 0.2500 0.0134 [2 per cell]
Sn1 0.2567 0.7500 0.5674 [2 per cell]
O1 0.0071 0.5046 0.7545 [4 per cell]
O2 0.4686 0.2500 0.1024 [2 per cell]

Computed properties:
- energy (eV per atom) = -6.62
- total moment (μB per formula unit) = 2.132


Entry from the Alexandria database: Cr3SnO after structural relaxation (PBE+U).

Lattice parameters (Å, degrees): 4.1985 4.1985 4.1985 90.00 90.00 90.00
Space group Pm-3m (No. 221)
Inequivalent atoms, fractional coordinates:
Cr1 0.0000 0.0000 0.5000 [3 per cell]
Sn1 0.5000 0.5000 0.5000 [1 per cell]
O1 0.0000 0.0000 0.0000 [1 per cell]

Computed properties:
- total moment (μB per formula unit) = 0.103
- ΔE to the lowest computed polymorph (eV/atom) = 0.000


Entry from the Alexandria database: SrCr2SnO6 after structural relaxation (PBE+U).

Lattice parameters (Å, degrees): 5.4345 5.4345 14.1766 90.00 90.00 120.00
Space group R3 (No. 146, hexagonal axes)
Inequivalent atoms, fractional coordinates:
Sr1 0.0000 0.0000 0.0000 [3 per cell]
Cr1 0.0000 0.0000 0.2627 [3 per cell]
Cr2 0.0000 0.0000 0.7672 [3 per cell]
Sn1 0.0000 0.0000 0.4693 [3 per cell]
O1 0.0021 0.3666 0.5208 [9 per cell]
O2 0.0205 0.5780 0.0290 [9 per cell]

Computed properties:
- energy (eV per atom) = -7.06
- total moment (μB per formula unit) = 6.000


Entry from the Alexandria database: Sr2CrSnO6 after structural relaxation (PBE+U).

Lattice parameters (Å, degrees): 4.0143 4.0143 7.9979 90.00 90.00 90.00
Space group P4/mmm (No. 123)
Inequivalent atoms, fractional coordinates:
Sr1 0.0000 0.0000 0.2337 [2 per cell]
Cr1 0.5000 0.5000 0.0000 [1 per cell]
Sn1 0.5000 0.5000 0.5000 [1 per cell]
O1 0.0000 0.5000 0.0000 [2 per cell]
O2 0.0000 0.5000 0.5000 [2 per cell]
O3 0.5000 0.5000 0.2396 [2 per cell]

Computed properties:
- total moment (μB per formula unit) = 1.992
- ΔE to the lowest computed polymorph (eV/atom) = 0.006


Entry from the Alexandria database: Sr3CrSn2O9 after structural relaxation (PBE+U).

Lattice parameters (Å, degrees): 5.7030 5.7030 6.9982 90.00 90.00 120.00
Space group P-3m1 (No. 164)
Inequivalent atoms, fractional coordinates:
Sr1 0.0000 0.0000 0.0000 [1 per cell]
Sr2 0.3333 0.6667 0.6634 [2 per cell]
Cr1 0.0000 0.0000 0.5000 [1 per cell]
Sn1 0.3333 0.6667 0.1730 [2 per cell]
O1 0.0000 0.5000 0.0000 [3 per cell]
O2 0.1612 0.3224 0.3396 [6 per cell]

Computed properties:
- energy (eV per atom) = -6.51
- total moment (μB per formula unit) = 2.028


Entry from the Alexandria database: Sr2CrSnO6 after structural relaxation (PBE+U).

Lattice parameters (Å, degrees): 8.0115 8.0115 8.0115 90.00 90.00 90.00
Space group Fm-3m (No. 225)
Inequivalent atoms, fractional coordinates:
Sr1 0.2500 0.2500 0.2500 [8 per cell]
Cr1 0.0000 0.0000 0.0000 [4 per cell]
Sn1 0.0000 0.0000 0.5000 [4 per cell]
O1 0.0000 0.0000 0.2439 [24 per cell]

Computed properties:
- total moment (μB per formula unit) = 1.981
- ΔE to the lowest computed polymorph (eV/atom) = 0.000


Entry from the Alexandria database: SrCr2SnO8 after structural relaxation (PBE+U).

Lattice parameters (Å, degrees): 5.6846 5.6846 7.4569 90.00 90.00 120.00
Space group P-3m1 (No. 164)
Inequivalent atoms, fractional coordinates:
Sr1 0.0000 0.0000 0.0000 [1 per cell]
Cr1 0.3333 0.6667 0.7979 [2 per cell]
Sn1 0.0000 0.0000 0.5000 [1 per cell]
O1 0.1707 0.3415 0.7274 [6 per cell]
O2 0.3333 0.6667 0.0171 [2 per cell]

Computed properties:
- energy (eV per atom) = -6.61
- total moment (μB per formula unit) = 0.000


Entry from the Alexandria database: SrCrSnWO6 after structural relaxation (PBE+U).

Lattice parameters (Å, degrees): 7.9864 7.9864 7.9864 90.00 90.00 90.00
Space group F-43m (No. 216)
Inequivalent atoms, fractional coordinates:
Sr1 0.0000 0.0000 0.0000 [4 per cell]
Cr1 0.2500 0.2500 0.2500 [4 per cell]
Sn1 0.0000 0.0000 0.5000 [4 per cell]
W1 0.2500 0.2500 0.7500 [4 per cell]
O1 0.0009 0.2500 0.7500 [24 per cell]

Computed properties:
- energy (eV per atom) = -6.97
- total moment (μB per formula unit) = 2.000


Entry from the Alexandria database: TaCrSn2O6 after structural relaxation (PBE+U).

Lattice parameters (Å, degrees): 5.7438 7.9751 5.8156 90.00 90.00 90.00
Space group Pmmn (No. 59, origin choice 2)
Inequivalent atoms, fractional coordinates:
Ta1 0.2500 0.2500 0.2097 [2 per cell]
Cr1 0.2500 0.7500 0.2439 [2 per cell]
Sn1 0.2500 0.0325 0.6783 [4 per cell]
O1 0.0030 0.2500 0.9991 [4 per cell]
O2 0.0211 0.2500 0.5253 [4 per cell]
O3 0.2500 0.0044 0.2831 [4 per cell]

Computed properties:
- energy (eV per atom) = -7.61
- total moment (μB per formula unit) = 3.003


Entry from the Alexandria database: TbCr2SnO6 after structural relaxation (PBE+U).

Lattice parameters (Å, degrees): 5.3418 5.4308 5.7103 63.44 89.92 60.90
Space group P1 (No. 1)
Inequivalent atoms, fractional coordinates:
Tb1 0.0000 0.0000 0.0000 [1 per cell]
Cr1 0.2168 0.5696 0.6277 [1 per cell]
Cr2 0.7227 0.5470 0.1608 [1 per cell]
Sn1 0.5224 0.9614 0.5460 [1 per cell]
O1 0.1449 0.0248 0.3694 [1 per cell]
O2 0.3263 0.1070 0.8200 [1 per cell]
O3 0.4340 0.4401 0.3633 [1 per cell]
O4 0.5779 0.4929 0.8424 [1 per cell]
O5 0.8256 0.7478 0.3605 [1 per cell]
O6 0.9297 0.7232 0.8425 [1 per cell]

Computed properties:
- energy (eV per atom) = -7.51
- total moment (μB per formula unit) = 7.000


Entry from the Alexandria database: Cr2SnTeO8 after structural relaxation (PBE+U).

Lattice parameters (Å, degrees): 6.4883 6.6759 6.3030 90.00 90.00 90.00
Space group Cmmm (No. 65)
Inequivalent atoms, fractional coordinates:
Cr1 0.0000 0.0000 0.2493 [4 per cell]
Sn1 0.0000 0.5000 0.0000 [2 per cell]
Te1 0.0000 0.5000 0.5000 [2 per cell]
O1 0.0000 0.3061 0.2652 [8 per cell]
O2 0.1888 0.0000 0.0000 [4 per cell]
O3 0.1999 0.0000 0.5000 [4 per cell]

Computed properties:
- energy (eV per atom) = -6.70
- total moment (μB per formula unit) = 6.000